This record from Alexandria describes crystalline Cd2TcSe at its relaxed geometry. The functional is GGA-PBE.

Lattice parameters (Å, degrees): 2.9679 2.9679 10.8545 90.00 90.00 117.84
Fractional positions:
Cd 0.0000 0.0000 0.0000
Cd 0.5000 0.5000 0.2639
Tc 0.5000 0.5000 0.7747
Se 0.0000 0.0000 0.5995

Values from the calculation:
VASP energy ... -14.7 eV for the cell shown
Space-group type ... Cmm2
E_form (uncorrected) ... 0.2426 eV/atom